TaCo2PbN: relaxed, PBE-GGA.

Size of the total moment: 1.66 Bohr magnetons per cell
Theoretical density: 9.3 g cm⁻³
Raw formation energy: 2239 meV/atom

Geometry as extended XYZ:
```
5
Lattice="4.7366 0.0000 0.0000 0.0000 4.1445 0.0000 0.0000 0.0000 4.7366" Properties=species:S:1:pos:R:3 pbc="T T T"
Co 2.3683 0.0000 0.0000
Ta 2.3683 2.0722 2.3683
Co 0.0000 0.0000 2.3683
N 0.0000 2.0722 0.0000
Pb 0.0000 0.0000 0.0000
```

CoTe2PbN: relaxed, PBE-GGA.

Size of the total moment: 0.00 Bohr magnetons per cell
Theoretical density: 8.1 g cm⁻³
Raw formation energy: 211 meV/atom

Geometry as extended XYZ:
```
5
Lattice="-2.8214 -4.8521 -0.0716 0.2119 -0.0405 -5.6091 2.9964 -1.7442 0.1258" Properties=species:S:1:pos:R:3 pbc="T T T"
Te -1.4107 -2.4260 -0.0358
Co 0.0000 0.0000 0.0000
Te 0.1060 -0.0202 -2.8045
Pb 0.1935 -3.3184 -2.7774
N 1.4982 -0.8721 0.0629
```

CoTePbN2: relaxed, PBE-GGA.

Size of the total moment: 3.56 Bohr magnetons per cell
Theoretical density: 8.3 g cm⁻³
Raw formation energy: 1218 meV/atom

Geometry as extended XYZ:
```
5
Lattice="4.0187 0.0000 0.0000 0.0000 5.2250 0.0000 0.0000 0.0000 4.0187" Properties=species:S:1:pos:R:3 pbc="T T T"
N 2.0093 0.0000 0.0000
Te 0.0000 2.6125 0.0000
Co 0.0000 0.0000 0.0000
Pb 2.0093 2.6125 2.0093
N 0.0000 0.0000 2.0093
```

CoTe2PbN: relaxed, PBE-GGA.

Size of the total moment: 1.00 Bohr magnetons per cell
Theoretical density: 5.9 g cm⁻³
Raw formation energy: 1604 meV/atom

Geometry as extended XYZ:
```
5
Lattice="5.8807 0.0000 0.0000 0.0000 5.8807 0.0000 0.0000 0.0000 4.3287" Properties=species:S:1:pos:R:3 pbc="T T T"
Te 0.0000 2.9404 0.0000
Co 2.9404 2.9404 2.1643
Te 2.9404 0.0000 0.0000
N 0.0000 0.0000 2.1643
Pb 0.0000 0.0000 0.0000
```